1.
CaAgRh2: optimized geometry, GGA-PBE.

Lattice parameters (Å, degrees): 4.655 4.655 4.655 60.00 60.00 60.00
Site moments in Bohr magnetons follow the coordinates.
Fractional coordinates of all 4 atoms:
Ca 0.750 0.750 0.750  -0.02
Rh 0.000 0.000 0.000  0.52
Rh 0.250 0.250 0.250  0.49
Ag 0.500 0.500 0.500  -0.01

Computed properties:
DFT formation energy = 0.029 eV per atom



2.
CaAgRu2Rh: optimized geometry, GGA-PBE.

Lattice parameters (Å, degrees): 4.857 5.093 4.857 90.00 90.00 90.00
Site moments in Bohr magnetons follow the coordinates.
Fractional coordinates of all 5 atoms:
Ca 0.000 0.500 0.000  -0.04
Ag 0.000 0.000 0.000  0.11
Rh 0.500 0.500 0.500  0.98
Ru 0.500 0.000 0.000  1.56
Ru 0.000 0.000 0.500  2.17

Computed properties:
DFT formation energy = 1.767 eV per atom



3.
Ca2AgSb3Rh4: optimized geometry, GGA-PBE.

Lattice parameters (Å, degrees): 4.307 4.307 11.338 90.00 90.00 90.00
Fractional coordinates of all 10 atoms:
Rh 0.500 0.500 0.000
Rh 0.000 0.000 0.000
Rh 0.500 0.000 0.644
Rh 0.000 0.500 0.356
Sb 0.000 0.500 0.132
Sb 0.000 0.000 0.500
Sb 0.500 0.000 0.868
Ca 0.000 0.500 0.738
Ca 0.500 0.000 0.262
Ag 0.500 0.500 0.500

Computed properties:
Raw formation energy = -0.584 eV/atom



4.
Ca2Si2AgRh5: optimized geometry, GGA-PBE.

Lattice parameters (Å, degrees): 3.342 10.019 10.019 90.00 90.00 90.00
Fractional coordinates of all 20 atoms:
Rh 0.500 0.500 0.000
Rh 0.500 0.431 0.283
Rh 0.500 0.783 0.931
Rh 0.500 0.931 0.217
Rh 0.500 0.717 0.431
Rh 0.500 0.283 0.569
Rh 0.500 0.569 0.717
Rh 0.500 0.069 0.783
Rh 0.500 0.217 0.069
Rh 0.500 0.000 0.500
Ca 0.000 0.826 0.674
Ca 0.000 0.674 0.174
Ca 0.000 0.326 0.826
Ca 0.000 0.174 0.326
Si 0.000 0.127 0.627
Si 0.000 0.873 0.373
Si 0.000 0.373 0.127
Si 0.000 0.627 0.873
Ag 0.000 0.000 0.000
Ag 0.000 0.500 0.500

Computed properties:
Raw formation energy = -0.631 eV/atom



5.
CaSmAgRh: optimized geometry, GGA-PBE.

Lattice parameters (Å, degrees): 5.048 5.048 5.048 60.00 60.00 60.00
Fractional coordinates of all 4 atoms:
Ag 0.250 0.250 0.250
Ca 0.500 0.500 0.500
Rh 0.750 0.750 0.750
Sm 0.000 0.000 0.000

Computed properties:
DFT formation energy = -0.417 eV per atom



6.
CaAgSn2Rh: optimized geometry, GGA-PBE.

Lattice parameters (Å, degrees): 5.155 5.165 5.155 90.00 90.00 90.00
Fractional coordinates of all 5 atoms:
Ag 0.000 0.000 0.000
Rh 0.000 0.500 0.000
Ca 0.500 0.500 0.500
Sn 0.000 0.000 0.500
Sn 0.500 0.000 0.000

Computed properties:
DFT formation energy = 0.356 eV per atom